VASP calculation (PBE) on an optimized crystal structure of Nd2Ho3Se6.

The structure belongs to space group C2/m (No. 12); the cell edges are 7.126, 12.280 and 7.167 Å and the angles 90.00°, 109.30° and 90.00°. Symmetry generates all atoms from Nd at (0.000, 0.165, 0.000), Ho at (0.000, 0.000, 0.500), Ho at (0.000, 0.334, 0.500), Se at (0.239, 0.500, 0.743) and Se at (0.250, 0.164, 0.740).

The value obtained for the electronic total energy is -129.44 eV for the cell shown.


VASP calculation (PBE) on an optimized crystal structure of YSc2Mn.

The structure belongs to space group R-3m (No. 166, hexagonal axes); the cell edges are 3.2116, 3.2116 and 30.4686 Å and the angles 90.00°, 90.00° and 120.00°. Symmetry generates all atoms from Y at (0.0000, 0.0000, 0.0000), Sc at (0.0000, 0.0000, 0.4287) and Mn at (0.0000, 0.0000, 0.5000).

The formation energy from the elements comes out at 0.624 eV per atom. Its energy above the most stable polymorph in this dataset is 0.538 eV/atom.


VASP calculation (PBE) on an optimized crystal structure of Dy3Y2Mg2.

The structure belongs to space group Cmmm (No. 65); the cell edges are 3.731, 31.052 and 3.615 Å and the angles 90.00°, 90.00° and 90.00°. Symmetry generates all atoms from Dy at (0.000, 0.000, 0.000), Dy at (0.000, 0.422, 0.500), Y at (0.000, 0.297, 0.500) and Mg at (0.000, 0.140, 0.000).

The formation energy from the elements comes out at 0.042 eV per atom.


VASP calculation (PBE) on an optimized crystal structure of Nd2Y8Th.

The structure belongs to space group C2/m (No. 12); the cell edges are 18.341, 5.092 and 8.033 Å and the angles 90.00°, 105.12° and 90.00°. Symmetry generates all atoms from Nd at (0.228, 0.000, 0.135), Y at (0.044, 0.000, 0.233), Y at (0.090, 0.500, 0.950), Y at (0.134, 0.000, 0.677), Y at (0.180, 0.500, 0.408) and Th at (0.000, 0.500, 0.500).

The formation energy from the elements comes out at 0.028 eV per atom. Its energy above the most stable polymorph in this dataset is 0.000 eV/atom.


Number 1: magnetization 0.000 Bohr magnetons per cell. Number 2: magnetization 0.009 Bohr magnetons per cell. Number 3: magnetization 1.057 Bohr magnetons per cell. Number 4: magnetization 0.000 Bohr magnetons per cell.